No. 1
{"formula": "KRu", "functional": "PBE-GGA", "state": "relaxed", "lattice": [[16.7962, 0.0000, 0.0000], [0.0000, 2.8208, 0.0000], [0.0000, 0.0000, 6.5098]], "species": ["K", "K", "K", "K", "K", "K", "Ru", "Ru", "Ru", "Ru", "Ru", "Ru"], "frac_coords": [[0.0000, 0.0137, 0.0000], [0.1917, 0.0000, 0.8027], [0.3083, 0.0000, 0.3027], [0.5000, 0.9863, 0.5000], [0.6917, 0.0000, 0.3027], [0.8083, 0.0000, 0.8027], [0.0000, 0.0055, 0.4920], [0.1118, 0.5058, 0.3651], [0.3882, 0.4942, 0.8651], [0.5000, 0.9945, 0.9920], [0.6118, 0.4942, 0.8651], [0.8882, 0.5058, 0.3651]], "crystal_system": "orthorhombic", "de_polymorph_ev_per_atom": 0.4379, "total_magnetization_mub_per_atom": 0.000, "volume_a3_per_atom": 25.70}


No. 2
{"formula": "K5Ru", "functional": "PBE-GGA", "state": "relaxed", "lattice": [[7.4620, 0.0000, 0.0000], [-3.7310, 6.4623, 0.0000], [0.0000, 0.0000, 7.4134]], "species": ["K", "K", "K", "K", "K", "Ru"], "frac_coords": [[0.0000, 0.5000, 0.0000], [0.3333, 0.6667, 0.5000], [0.5000, 0.0000, 0.0000], [0.5000, 0.5000, 0.0000], [0.6667, 0.3333, 0.5000], [0.0000, 0.0000, 0.5000]], "crystal_system": "hexagonal", "de_polymorph_ev_per_atom": 0.3238, "total_magnetization_mub_per_atom": 0.378, "volume_a3_per_atom": 59.58}


No. 3
{"formula": "KRu3", "functional": "PBE-GGA", "state": "relaxed", "lattice": [[4.9082, 0.0000, 0.0000], [0.0000, 4.9082, 0.0000], [0.0000, 0.0000, 2.7740]], "species": ["K", "Ru", "Ru", "Ru"], "frac_coords": [[0.0000, 0.0000, 0.0000], [0.0000, 0.5000, 0.5000], [0.5000, 0.0000, 0.5000], [0.5000, 0.5000, 0.0000]], "crystal_system": "tetragonal", "de_polymorph_ev_per_atom": 0.6910, "total_magnetization_mub_per_atom": 0.614, "volume_a3_per_atom": 16.71}


No. 4
{"formula": "KRu3", "functional": "PBE-GGA", "state": "relaxed", "lattice": [[2.8968, -4.4191, 0.0000], [2.8968, 4.4191, 0.0000], [0.0000, 0.0000, 2.6084]], "species": ["K", "Ru", "Ru", "Ru"], "frac_coords": [[0.0000, 0.0000, 0.0000], [0.0000, 0.5000, 0.5000], [0.5000, 0.0000, 0.5000], [0.5000, 0.5000, 0.0000]], "crystal_system": "orthorhombic", "de_polymorph_ev_per_atom": 0.6149, "total_magnetization_mub_per_atom": 0.384, "volume_a3_per_atom": 16.70}


No. 5
{"formula": "K5Ru", "functional": "PBE-GGA", "state": "relaxed", "lattice": [[7.8144, -1.9419, 0.0000], [7.8144, 1.9419, 0.0000], [-4.9532, 0.0000, 10.2894]], "species": ["K", "K", "K", "K", "K", "Ru"], "frac_coords": [[0.0000, 0.0000, 0.0000], [0.3395, 0.3395, 0.2404], [0.3807, 0.3807, 0.6158], [0.6193, 0.6193, 0.3842], [0.6605, 0.6605, 0.7596], [0.0000, 0.0000, 0.5000]], "crystal_system": "monoclinic", "de_polymorph_ev_per_atom": 0.0000, "total_magnetization_mub_per_atom": 0.264, "volume_a3_per_atom": 52.05}


No. 6
{"formula": "KRu", "functional": "PBE-GGA", "state": "relaxed", "lattice": [[2.8542, 0.0000, 0.0000], [0.0000, 3.8821, 0.0000], [-0.2886, 0.0000, 10.1588]], "species": ["K", "K", "Ru", "Ru"], "frac_coords": [[0.2151, 0.2500, 0.2134], [0.7849, 0.7500, 0.7866], [0.2554, 0.2500, 0.5418], [0.7446, 0.7500, 0.4582]], "crystal_system": "monoclinic", "de_polymorph_ev_per_atom": 0.1333, "total_magnetization_mub_per_atom": 0.000, "volume_a3_per_atom": 28.14}


No. 7
{"formula": "KRu", "functional": "PBE-GGA", "state": "relaxed", "lattice": [[2.8395, 0.0000, 0.0000], [-1.4198, 2.4591, 0.0000], [0.0000, 0.0000, 11.4704]], "species": ["K", "K", "Ru", "Ru"], "frac_coords": [[0.0000, 0.0000, 0.0000], [0.0000, 0.0000, 0.5000], [0.3333, 0.6667, 0.2500], [0.6667, 0.3333, 0.7500]], "crystal_system": "hexagonal", "de_polymorph_ev_per_atom": 0.7319, "total_magnetization_mub_per_atom": 0.308, "volume_a3_per_atom": 20.02}


No. 8
{"formula": "KRu5", "functional": "PBE-GGA", "state": "relaxed", "lattice": [[5.3005, 0.0000, 0.0000], [-2.6502, 4.5903, 0.0000], [0.0000, 0.0000, 4.3382]], "species": ["K", "Ru", "Ru", "Ru", "Ru", "Ru"], "frac_coords": [[0.0000, 0.0000, 0.0000], [0.0000, 0.5000, 0.5000], [0.3333, 0.6667, 0.0000], [0.5000, 0.0000, 0.5000], [0.5000, 0.5000, 0.5000], [0.6667, 0.3333, 0.0000]], "crystal_system": "hexagonal", "de_polymorph_ev_per_atom": 0.2718, "total_magnetization_mub_per_atom": 0.532, "volume_a3_per_atom": 17.59}


No. 9
{"formula": "KRu3", "functional": "PBE-GGA", "state": "relaxed", "lattice": [[0.0000, 3.1987, 3.1987], [3.1987, 0.0000, 3.1987], [3.1987, 3.1987, 0.0000]], "species": ["K", "Ru", "Ru", "Ru"], "frac_coords": [[0.0000, 0.0000, 0.0000], [0.2500, 0.2500, 0.2500], [0.5000, 0.5000, 0.5000], [0.7500, 0.7500, 0.7500]], "crystal_system": "cubic", "de_polymorph_ev_per_atom": 0.6911, "total_magnetization_mub_per_atom": 0.291, "volume_a3_per_atom": 16.36}


No. 10
{"formula": "KRu", "functional": "PBE-GGA", "state": "relaxed", "lattice": [[6.8878, 0.0000, 0.0000], [0.0000, 6.8878, 0.0000], [0.0000, 0.0000, 6.6929]], "species": ["K", "K", "K", "K", "Ru", "Ru", "Ru", "Ru"], "frac_coords": [[0.1775, 0.1775, 0.0000], [0.3225, 0.6775, 0.5000], [0.6775, 0.3225, 0.5000], [0.8225, 0.8225, 0.0000], [0.1150, 0.1150, 0.5000], [0.3850, 0.6150, 0.0000], [0.6150, 0.3850, 0.0000], [0.8850, 0.8850, 0.5000]], "crystal_system": "tetragonal", "de_polymorph_ev_per_atom": 1.1036, "total_magnetization_mub_per_atom": 1.272, "volume_a3_per_atom": 39.69}


No. 11
{"formula": "KRu", "functional": "PBE-GGA", "state": "relaxed", "lattice": [[1.6140, -2.2029, 0.0000], [1.6140, 2.2029, 0.0000], [0.0000, 0.0000, 5.6720]], "species": ["K", "Ru"], "frac_coords": [[0.0000, 0.0000, 0.0000], [0.5000, 0.5000, 0.5000]], "crystal_system": "orthorhombic", "de_polymorph_ev_per_atom": 0.7435, "total_magnetization_mub_per_atom": 0.000, "volume_a3_per_atom": 20.17}


No. 12
{"formula": "KRu", "functional": "PBE-GGA", "state": "relaxed", "lattice": [[4.1109, 0.0000, 0.0000], [-2.0555, 3.5602, 0.0000], [0.0000, 0.0000, 19.3556]], "species": ["K", "K", "K", "K", "Ru", "Ru", "Ru", "Ru"], "frac_coords": [[0.3333, 0.6667, 0.1173], [0.3333, 0.6667, 0.3827], [0.6667, 0.3333, 0.6173], [0.6667, 0.3333, 0.8827], [0.0000, 0.0000, 0.2500], [0.0000, 0.0000, 0.7500], [0.3333, 0.6667, 0.7500], [0.6667, 0.3333, 0.2500]], "crystal_system": "hexagonal", "de_polymorph_ev_per_atom": 0.1426, "total_magnetization_mub_per_atom": 0.000, "volume_a3_per_atom": 35.41}


No. 13
{"formula": "KRu", "functional": "PBE-GGA", "state": "relaxed", "lattice": [[13.6008, 0.0000, 0.0000], [-6.8004, 11.7786, 0.0000], [0.0000, 0.0000, 3.8135]], "species": ["K", "K", "K", "K", "K", "K", "Ru", "Ru", "Ru", "Ru", "Ru", "Ru"], "frac_coords": [[0.1878, 0.7484, 0.2500], [0.2516, 0.4394, 0.2500], [0.4394, 0.1878, 0.7500], [0.5606, 0.8122, 0.2500], [0.7484, 0.5606, 0.7500], [0.8122, 0.2516, 0.7500], [0.0205, 0.4685, 0.2500], [0.4480, 0.9795, 0.2500], [0.4685, 0.4480, 0.7500], [0.5315, 0.5520, 0.2500], [0.5520, 0.0205, 0.7500], [0.9795, 0.5315, 0.7500]], "crystal_system": "hexagonal", "de_polymorph_ev_per_atom": 0.6025, "total_magnetization_mub_per_atom": 0.122, "volume_a3_per_atom": 50.91}


No. 14
{"formula": "KRu3", "functional": "PBE-GGA", "state": "relaxed", "lattice": [[1.3864, 0.8005, 10.1350], [-1.3864, 0.8005, 10.1350], [0.0000, -1.6009, 10.1350]], "species": ["K", "Ru", "Ru", "Ru"], "frac_coords": [[0.0000, 0.0000, 0.0000], [0.2361, 0.2361, 0.2361], [0.5000, 0.5000, 0.5000], [0.7639, 0.7639, 0.7639]], "crystal_system": "trigonal", "de_polymorph_ev_per_atom": 0.0000, "total_magnetization_mub_per_atom": 0.000, "volume_a3_per_atom": 16.87}


No. 15
{"formula": "K3Ru", "functional": "PBE-GGA", "state": "relaxed", "lattice": [[5.5119, 0.0000, 0.0000], [0.0000, 5.5119, 0.0000], [0.0000, 0.0000, 5.5119]], "species": ["K", "K", "K", "Ru"], "frac_coords": [[0.0000, 0.0000, 0.5000], [0.0000, 0.5000, 0.0000], [0.5000, 0.0000, 0.0000], [0.5000, 0.5000, 0.5000]], "crystal_system": "cubic", "de_polymorph_ev_per_atom": 0.1157, "total_magnetization_mub_per_atom": 0.556, "volume_a3_per_atom": 41.86}


No. 16
{"formula": "KRu4", "functional": "PBE-GGA", "state": "relaxed", "lattice": [[4.4936, 0.0000, 0.0000], [0.0000, 4.4936, 0.0000], [0.0000, 0.0000, 4.4936]], "species": ["K", "Ru", "Ru", "Ru", "Ru"], "frac_coords": [[0.0000, 0.0000, 0.0000], [0.0000, 0.0000, 0.5000], [0.0000, 0.5000, 0.0000], [0.5000, 0.0000, 0.0000], [0.5000, 0.5000, 0.5000]], "crystal_system": "cubic", "de_polymorph_ev_per_atom": 0.3887, "total_magnetization_mub_per_atom": 0.973, "volume_a3_per_atom": 18.15}


No. 17
{"formula": "KRu5", "functional": "PBE-GGA", "state": "relaxed", "lattice": [[4.2829, 0.0000, 0.0000], [0.0000, 1.3564, 9.6406], [0.0000, -1.3564, 9.6406]], "species": ["K", "Ru", "Ru", "Ru", "Ru", "Ru"], "frac_coords": [[0.0000, 0.0000, 0.0000], [0.0000, 0.3248, 0.3248], [0.0000, 0.7022, 0.7022], [0.5000, 0.2443, 0.2443], [0.5000, 0.6268, 0.6268], [0.5000, 0.8612, 0.8612]], "crystal_system": "orthorhombic", "de_polymorph_ev_per_atom": 0.0000, "total_magnetization_mub_per_atom": 0.055, "volume_a3_per_atom": 18.67}


No. 18
{"formula": "KRu", "functional": "PBE-GGA", "state": "relaxed", "lattice": [[4.0588, -1.4630, 0.0000], [4.0588, 1.4630, 0.0000], [-0.3496, 0.0000, 9.9533]], "species": ["K", "K", "Ru", "Ru"], "frac_coords": [[0.1165, 0.1165, 0.2811], [0.8835, 0.8835, 0.7189], [0.3673, 0.3673, 0.0412], [0.6327, 0.6327, 0.9588]], "crystal_system": "monoclinic", "de_polymorph_ev_per_atom": 0.1791, "total_magnetization_mub_per_atom": 0.000, "volume_a3_per_atom": 29.55}


No. 19
{"formula": "KRu3", "functional": "PBE-GGA", "state": "relaxed", "lattice": [[-1.3654, 5.0101, 2.5487], [1.3654, -5.0101, 2.5487], [1.3654, 5.0101, -2.5487]], "species": ["K", "Ru", "Ru", "Ru"], "frac_coords": [[0.0000, 0.0000, 0.0000], [0.3437, 0.5590, 0.7847], [0.4952, 0.9952, 0.5000], [0.7743, 0.5590, 0.2153]], "crystal_system": "orthorhombic", "de_polymorph_ev_per_atom": 0.3674, "total_magnetization_mub_per_atom": 0.000, "volume_a3_per_atom": 17.44}


No. 20
{"formula": "KRu", "functional": "PBE-GGA", "state": "relaxed", "lattice": [[-7.1075, 7.1075, 1.4268], [7.1075, -7.1075, 1.4268], [7.1075, 7.1075, -1.4268]], "species": ["K", "K", "K", "K", "Ru", "Ru", "Ru", "Ru"], "frac_coords": [[0.0410, 0.2529, 0.2939], [0.2529, 0.9590, 0.2119], [0.7471, 0.0410, 0.7881], [0.9590, 0.7471, 0.7061], [0.1822, 0.7458, 0.9280], [0.2542, 0.1822, 0.4363], [0.7458, 0.8178, 0.5637], [0.8178, 0.2542, 0.0720]], "crystal_system": "tetragonal", "de_polymorph_ev_per_atom": 0.7193, "total_magnetization_mub_per_atom": 0.000, "volume_a3_per_atom": 36.04}